# 1
ReSNF2: optimized geometry, GGA-PBE.

It has space group P4/mmm (No. 123), with a = 4.184 Å, b = 4.184 Å, c = 3.825 Å, α = 90.00°, β = 90.00° and γ = 90.00°. The distinct sites, in fractional coordinates, are Re at (0.000, 0.000, 0.000), S at (0.500, 0.500, 0.500), N at (0.000, 0.000, 0.500) and F at (0.000, 0.500, 0.000).

=====

# 2
ReSNF2: optimized geometry, GGA-PBE.

It has space group P4/mmm (No. 123), with a = 4.773 Å, b = 4.773 Å, c = 3.232 Å, α = 90.00°, β = 90.00° and γ = 90.00°. The distinct sites, in fractional coordinates, are Re at (0.000, 0.000, 0.000), S at (0.500, 0.500, 0.500), N at (0.500, 0.500, 0.000) and F at (0.000, 0.500, 0.500).

=====

# 3
ScReN2F: optimized geometry, GGA-PBE.

It has space group P4/mmm (No. 123), with a = 4.208 Å, b = 4.208 Å, c = 3.801 Å, α = 90.00°, β = 90.00° and γ = 90.00°. The distinct sites, in fractional coordinates, are Sc at (0.000, 0.000, 0.000), Re at (0.500, 0.500, 0.500), N at (0.000, 0.500, 0.000) and F at (0.000, 0.000, 0.500).

=====

# 4
ScReNF2: optimized geometry, GGA-PBE.

It has space group P4/mmm (No. 123), with a = 4.228 Å, b = 4.228 Å, c = 3.868 Å, α = 90.00°, β = 90.00° and γ = 90.00°. The distinct sites, in fractional coordinates, are Sc at (0.000, 0.000, 0.000), Re at (0.500, 0.500, 0.500), N at (0.500, 0.500, 0.000) and F at (0.000, 0.500, 0.500).

=====

no.,VASP energy (eV/atom),V (A^3/atom),distance to the lowest polymorph of the same formula (meV per atom)
1,-5.7560,13.39,0
2,-4.7531,14.72,1003
3,-7.0988,13.46,870
4,-6.8371,13.82,87